A plane-wave DFT calculation with PBE was carried out for crystalline PmPr2NdSm6 at its relaxed geometry.

Lattice parameters (Å, degrees): 9.206 15.310 10.010 90.00 99.36 90.00
Space group C2/c (No. 15)
Unique sites:
Pm  0.000  0.094  0.250
Pr  0.240  0.450  0.041
Nd  0.000  0.484  0.750
Sm  0.070  0.311  0.444
Sm  0.099  0.104  0.621
Sm  0.201  0.277  0.813

- ρ: 7.03 g/cm³
- E_tot: -0.1699 Ha/atom
- Total moment: 0.000 Bohr magnetons per cell

A plane-wave DFT calculation with PBE was carried out for crystalline NaTl2In2 at its relaxed geometry.

Lattice parameters (Å, degrees): 8.830 8.830 3.862 90.00 90.00 90.00
Space group P4/mbm (No. 127)
Unique sites:
Na  0.000  0.000  0.000
Tl  0.151  0.349  0.000
In  0.146  0.646  0.500

- ρ: 7.29 g/cm³
- E_tot: -0.0849 Ha/atom
- Total moment: 0.000 Bohr magnetons per cell

A plane-wave DFT calculation with PBE was carried out for crystalline Na3Sm3IO8 at its relaxed geometry.

Lattice parameters (Å, degrees): 12.366 6.927 6.755 90.00 121.85 90.00
Space group C2/m (No. 12)
Unique sites:
Na  0.000  0.000  0.000
Na  0.250  0.250  0.500
Sm  0.000  0.500  0.500
Sm  0.250  0.250  0.000
I  0.000  0.000  0.500
O  0.022  0.226  0.736
O  0.224  0.500  0.740
O  0.245  0.500  0.224

- ρ: 5.24 g/cm³
- Formation energy from raw total energies: -2.115 eV per atom
- E_tot: -0.2231 Ha/atom
- Total moment: 2.053 Bohr magnetons per cell

A plane-wave DFT calculation with PBE was carried out for crystalline RbGaPb2S4 at its relaxed geometry.

Lattice parameters (Å, degrees): 12.541 10.290 8.624 90.00 118.62 90.00
Space group C2 (No. 5)
Unique sites:
Rb  0.000  0.000  0.000
Rb  0.000  0.097  0.500
Ga  0.234  0.758  0.835
Pb  0.000  0.449  0.000
Pb  0.000  0.544  0.500
Pb  0.217  0.787  0.417
S  0.032  0.715  0.770
S  0.118  0.272  0.882
S  0.240  0.098  0.337
S  0.249  0.940  0.690

- ρ: 4.74 g/cm³
- Formation energy from raw total energies: -0.685 eV per atom
- E_tot: -0.1534 Ha/atom
- Total moment: 0.000 Bohr magnetons per cell